This record from Alexandria via LeMat-Bulk describes an optimized crystal structure of InGaPb2. The functional is GGA-PBE.

Summary:
E_form: 22 kJ/mol of formula units
Space-group type: P4mm
Density: 9.1 g/cm³
Relative energy among the computed polymorphs: 10.4 meV per atom
Fermi-level density of states: 0.49 states/eV/atom
VASP energy: -3.239 eV/atom

Structure (CIF):
```
data_InGaPb2
_chemical_formula_sum 'In1 Ga1 Pb2'
_symmetry_space_group_name_H-M 'P 1'
_symmetry_Int_Tables_number 1
_cell_length_a 3.848
_cell_length_b 3.848
_cell_length_c 7.410
_cell_angle_alpha 90.00
_cell_angle_beta 90.00
_cell_angle_gamma 90.00
loop_
_symmetry_equiv_pos_as_xyz
'x,y,z'
loop_
_atom_site_label
_atom_site_type_symbol
_atom_site_fract_x
_atom_site_fract_y
_atom_site_fract_z
Pb1 Pb 0.500 0.500 0.265
In1 In 0.000 0.000 0.526
Ga1 Ga 0.500 0.500 0.738
Pb2 Pb 0.000 0.000 0.970
```

This record from Alexandria via LeMat-Bulk describes an optimized crystal structure of AlIrSe2. The functional is GGA-PBE.

Summary:
Space-group type: P4mm
Density: 8.3 g/cm³
Formation energy without anion corrections: -0.043 eV per atom
Fermi-level density of states: 0.53 states/eV/atom
VASP energy: -4.936 eV/atom

Structure (CIF):
```
data_AlIrSe2
_chemical_formula_sum 'Al1 Ir1 Se2'
_symmetry_space_group_name_H-M 'P 1'
_symmetry_Int_Tables_number 1
_cell_length_a 2.933
_cell_length_b 2.933
_cell_length_c 8.724
_cell_angle_alpha 90.00
_cell_angle_beta 90.00
_cell_angle_gamma 90.00
loop_
_symmetry_equiv_pos_as_xyz
'x,y,z'
loop_
_atom_site_label
_atom_site_type_symbol
_atom_site_fract_x
_atom_site_fract_y
_atom_site_fract_z
Ir1 Ir 0.500 0.500 0.719
Al1 Al 0.000 0.000 0.539
Se1 Se 0.000 0.000 0.930
Se2 Se 0.500 0.500 0.312
```

This record from Alexandria via LeMat-Bulk describes an optimized crystal structure of CaIrN2O. The functional is GGA-PBE.

Summary:
Space-group type: P4/mmm
Density: 6.3 g/cm³
Formation energy without anion corrections: 2.094 eV per atom
Fermi-level density of states: 1.55 states/eV/atom
VASP energy: -4.400 eV/atom

Structure (CIF):
```
data_CaIrN2O
_chemical_formula_sum 'Ca1 Ir1 N2 O1'
_symmetry_space_group_name_H-M 'P 1'
_symmetry_Int_Tables_number 1
_cell_length_a 4.218
_cell_length_b 4.218
_cell_length_c 4.109
_cell_angle_alpha 90.00
_cell_angle_beta 90.00
_cell_angle_gamma 90.00
loop_
_symmetry_equiv_pos_as_xyz
'x,y,z'
loop_
_atom_site_label
_atom_site_type_symbol
_atom_site_fract_x
_atom_site_fract_y
_atom_site_fract_z
Ca1 Ca 0.000 0.000 0.000
O1 O 0.000 0.000 0.500
Ir1 Ir 0.500 0.500 0.500
N1 N 0.000 0.500 0.000
N2 N 0.500 0.000 0.000
```

This record from Alexandria via LeMat-Bulk describes an optimized crystal structure of ZrBe2Ag. The functional is GGA-PBE.

Summary:
E_form: 24 kJ/mol of formula units
Space-group type: P4mm
Density: 6.4 g/cm³
Relative energy among the computed polymorphs: 49.9 meV per atom
Fermi-level density of states: 0.45 states/eV/atom
VASP energy: -4.650 eV/atom

Structure (CIF):
```
data_ZrBe2Ag
_chemical_formula_sum 'Zr1 Be2 Ag1'
_symmetry_space_group_name_H-M 'P 1'
_symmetry_Int_Tables_number 1
_cell_length_a 2.871
_cell_length_b 2.871
_cell_length_c 6.873
_cell_angle_alpha 90.00
_cell_angle_beta 90.00
_cell_angle_gamma 90.00
loop_
_symmetry_equiv_pos_as_xyz
'x,y,z'
loop_
_atom_site_label
_atom_site_type_symbol
_atom_site_fract_x
_atom_site_fract_y
_atom_site_fract_z
Be1 Be 0.000 0.000 0.043
Ag1 Ag 0.500 0.500 0.808
Be2 Be 0.500 0.500 0.190
Zr1 Zr 0.000 0.000 0.458
```

This record from Alexandria via LeMat-Bulk describes an optimized crystal structure of TlCr2W. The functional is GGA-PBE.

Summary:
E_form: 243 kJ/mol of formula units
Space-group type: P4/mmm
Density: 13.0 g/cm³
Relative energy among the computed polymorphs: 165.9 meV per atom
Fermi-level density of states: 0.30 states/eV/atom
VASP energy: -8.012 eV/atom

Structure (CIF):
```
data_TlCr2W
_chemical_formula_sum 'Tl1 Cr2 W1'
_symmetry_space_group_name_H-M 'P 1'
_symmetry_Int_Tables_number 1
_cell_length_a 4.395
_cell_length_b 4.395
_cell_length_c 3.244
_cell_angle_alpha 90.00
_cell_angle_beta 90.00
_cell_angle_gamma 89.97
loop_
_symmetry_equiv_pos_as_xyz
'x,y,z'
loop_
_atom_site_label
_atom_site_type_symbol
_atom_site_fract_x
_atom_site_fract_y
_atom_site_fract_z
W1 W 0.000 0.500 0.500
Tl1 Tl 0.500 0.000 0.500
Cr1 Cr 0.000 0.000 0.000
Cr2 Cr 0.500 0.500 0.000
```

This record from Alexandria via LeMat-Bulk describes an optimized crystal structure of Si2RhAu. The functional is GGA-PBE.

Summary:
Space-group type: P4/mmm
Density: 9.9 g/cm³
Formation energy without anion corrections: 0.010 eV per atom
Relative energy among the computed polymorphs: 293.3 meV per atom
Fermi-level density of states: 0.53 states/eV/atom
VASP energy: -5.358 eV/atom

Structure (CIF):
```
data_Si2RhAu
_chemical_formula_sum 'Si2 Rh1 Au1'
_symmetry_space_group_name_H-M 'P 1'
_symmetry_Int_Tables_number 1
_cell_length_a 4.399
_cell_length_b 4.399
_cell_length_c 3.081
_cell_angle_alpha 90.00
_cell_angle_beta 90.00
_cell_angle_gamma 90.06
loop_
_symmetry_equiv_pos_as_xyz
'x,y,z'
loop_
_atom_site_label
_atom_site_type_symbol
_atom_site_fract_x
_atom_site_fract_y
_atom_site_fract_z
Si1 Si 0.000 0.000 0.000
Si2 Si 0.500 0.500 0.000
Rh1 Rh 0.000 0.500 0.500
Au1 Au 0.500 0.000 0.500
```

Q: Which of these has the highest density?
A: TlCr2W

Q: Which value of density does entry 6 give?
A: 9.9 g/cm³

Q: Which value of density does entry 5 give?
A: 13.0 g/cm³